# 1
Na2Cd3Ge | PBE-GGA | relaxed

Energy, eV per cell: -20.91
ΔH_f (0 K), eV per atom: -0.075

abc: 5.956 5.956 9.966
angles: 114.56 114.56 66.99
Fractional coordinates of all 12 atoms:
Cd 0.831 0.831 0.171
Cd 0.172 0.172 0.344
Cd 0.340 0.340 0.171
Cd 0.660 0.660 0.829
Cd 0.169 0.169 0.829
Cd 0.828 0.828 0.656
Na 0.752 0.248 0.000
Na 0.250 0.750 0.500
Na 0.750 0.250 0.500
Na 0.248 0.752 0.000
Ge 0.337 0.337 0.674
Ge 0.663 0.663 0.326

***

# 2
NaCd2Ge2 | PBE-GGA | relaxed

Energy, eV per cell: -23.92
Energy above the lowest structure with this stoichiometry, meV/atom: 131
ΔH_f (0 K), eV per atom: 0.085

abc: 8.470 8.470 3.171
angles: 90.00 90.00 90.00
Fractional coordinates of all 10 atoms:
Ge 0.347 0.847 0.000
Ge 0.653 0.153 0.000
Ge 0.847 0.653 0.000
Ge 0.153 0.347 0.000
Na 0.000 0.000 0.000
Na 0.500 0.500 0.000
Cd 0.144 0.644 0.500
Cd 0.856 0.356 0.500
Cd 0.356 0.144 0.500
Cd 0.644 0.856 0.500

***

# 3
NaCdGe3 | PBE-GGA | relaxed

Energy, eV per cell: -11.51
Energy above the lowest structure with this stoichiometry, meV/atom: 313
ΔH_f (0 K), eV per atom: 0.914

abc: 5.083 5.083 5.083
angles: 90.00 90.00 90.00
Fractional coordinates of all 5 atoms:
Ge 0.000 0.500 0.000
Ge 0.000 0.000 0.500
Ge 0.500 0.000 0.000
Cd 0.500 0.500 0.500
Na 0.000 0.000 0.000

***

| no. | total magnetic moment (μB per atom) |
| --- | --- |
| 1 | 0.000 |
| 2 | 0.000 |
| 3 | 0.000 |